--- one ---
Entry from Alexandria via LeMat-Bulk: an optimized crystal structure of MoRh2Au (PBE). Values from VASP.

```
&SYSTEM
  ibrav = 0, nat = 4, ntyp = 3
/
ATOMIC_SPECIES
Mo 95.94 Mo.upf
Rh 102.91 Rh.upf
Au 196.97 Au.upf
CELL_PARAMETERS angstrom
-1.992 1.992 3.852
1.992 -1.992 3.852
1.992 1.992 -3.852
ATOMIC_POSITIONS angstrom
Mo 0.000 0.000 0.000
Rh 1.992 0.000 1.926
Rh 0.000 1.992 1.926
Au 0.000 0.000 3.852
```

Symmetry ... I4/mmm
ρ ... 13.542 g cm⁻³

=====

--- two ---
Entry from Alexandria via LeMat-Bulk: an optimized crystal structure of MoRh2Au (PBE). Values from VASP.

```
&SYSTEM
  ibrav = 0, nat = 4, ntyp = 3
/
ATOMIC_SPECIES
Mo 95.94 Mo.upf
Rh 102.91 Rh.upf
Au 196.97 Au.upf
CELL_PARAMETERS angstrom
0.000 3.146 3.146
3.146 0.000 3.146
3.146 3.146 0.000
ATOMIC_POSITIONS angstrom
Mo 0.000 0.000 0.000
Rh 1.573 1.573 1.573
Rh 4.719 4.719 4.719
Au 3.146 3.146 3.146
```

Symmetry ... Fm-3m
ρ ... 13.297 g cm⁻³

=====

--- three ---
Entry from Alexandria via LeMat-Bulk: an optimized crystal structure of MoRh2Au (PBE). Values from VASP.

```
&SYSTEM
  ibrav = 0, nat = 8, ntyp = 3
/
ATOMIC_SPECIES
Mo 95.94 Mo.upf
Rh 102.91 Rh.upf
Au 196.97 Au.upf
CELL_PARAMETERS angstrom
-3.521 3.521 2.781
3.521 -3.521 2.781
3.521 3.521 -2.781
ATOMIC_POSITIONS angstrom
Mo 0.000 0.000 0.000
Mo 0.000 3.521 1.391
Rh 1.760 1.502 -0.695
Rh 2.019 -1.760 3.477
Rh 1.760 2.019 2.086
Rh 1.502 5.281 0.695
Au 3.521 0.000 1.391
Au 0.000 0.000 2.781
```

Symmetry ... I-42d
ρ ... 12.011 g cm⁻³

=====

--- four ---
Entry from Alexandria via LeMat-Bulk: an optimized crystal structure of MoRh2Au (PBE). Values from VASP.

```
&SYSTEM
  ibrav = 0, nat = 4, ntyp = 3
/
ATOMIC_SPECIES
Mo 95.94 Mo.upf
Rh 102.91 Rh.upf
Au 196.97 Au.upf
CELL_PARAMETERS angstrom
4.664 -1.408 0.000
4.664 1.408 0.000
-0.881 0.000 4.690
ATOMIC_POSITIONS angstrom
Mo 0.000 0.000 0.000
Rh 1.696 0.000 3.689
Rh 4.295 0.000 2.464
Au 6.802 0.000 1.314
```

Symmetry ... Cm
ρ ... 13.442 g cm⁻³

=====

Most stable = one

=====

--- one ---
Entry from Alexandria via LeMat-Bulk: an optimized crystal structure of MoRhAu2 (PBE). Values from VASP.

```
&SYSTEM
  ibrav = 0, nat = 4, ntyp = 3
/
ATOMIC_SPECIES
Mo 95.94 Mo.upf
Rh 102.91 Rh.upf
Au 196.97 Au.upf
CELL_PARAMETERS angstrom
0.000 3.210 3.210
3.210 0.000 3.210
3.210 3.210 0.000
ATOMIC_POSITIONS angstrom
Mo 0.000 0.000 0.000
Rh 4.816 4.816 4.816
Au 1.605 1.605 1.605
Au 3.210 3.210 3.210
```

Symmetry ... F-43m
ρ ... 14.873 g cm⁻³

=====

--- two ---
Entry from Alexandria via LeMat-Bulk: an optimized crystal structure of MoRhAu2 (PBE). Values from VASP.

```
&SYSTEM
  ibrav = 0, nat = 4, ntyp = 3
/
ATOMIC_SPECIES
Mo 95.94 Mo.upf
Rh 102.91 Rh.upf
Au 196.97 Au.upf
CELL_PARAMETERS angstrom
-1.990 1.990 4.081
1.990 -1.990 4.081
1.990 1.990 -4.081
ATOMIC_POSITIONS angstrom
Mo 0.000 0.000 0.000
Rh 0.000 1.990 2.041
Au 1.990 0.000 2.041
Au 0.000 0.000 4.081
```

Symmetry ... I-4m2
ρ ... 15.224 g cm⁻³

=====

Most stable = two

=====

--- one ---
Entry from Alexandria via LeMat-Bulk: an optimized crystal structure of MoRhAu2 (PBE). Values from VASP.

```
&SYSTEM
  ibrav = 0, nat = 4, ntyp = 3
/
ATOMIC_SPECIES
Mo 95.94 Mo.upf
Rh 102.91 Rh.upf
Au 196.97 Au.upf
CELL_PARAMETERS angstrom
2.805 0.000 0.000
0.000 2.805 0.000
0.000 0.000 8.252
ATOMIC_POSITIONS angstrom
Mo 0.000 0.000 0.000
Rh 0.000 0.000 4.126
Au 1.402 1.402 2.077
Au 1.402 1.402 6.175
```

Symmetry ... P4/mmm
ρ ... 15.163 g cm⁻³

=====

--- two ---
Entry from Alexandria via LeMat-Bulk: an optimized crystal structure of MoRhAu2 (PBE). Values from VASP.

```
&SYSTEM
  ibrav = 0, nat = 4, ntyp = 3
/
ATOMIC_SPECIES
Mo 95.94 Mo.upf
Rh 102.91 Rh.upf
Au 196.97 Au.upf
CELL_PARAMETERS angstrom
4.778 -1.433 0.000
4.778 1.433 0.000
-0.813 0.000 4.755
ATOMIC_POSITIONS angstrom
Mo 0.000 0.000 0.000
Rh 4.372 0.000 2.377
Au 1.795 0.000 3.577
Au 6.950 0.000 1.177
```

Symmetry ... C2/m
ρ ... 15.116 g cm⁻³

=====

Most stable = two

=====

--- one ---
Entry from Alexandria via LeMat-Bulk: an optimized crystal structure of Mo2RhAu2 (PBE). Values from VASP.

```
&SYSTEM
  ibrav = 0, nat = 5, ntyp = 3
/
ATOMIC_SPECIES
Mo 95.94 Mo.upf
Rh 102.91 Rh.upf
Au 196.97 Au.upf
CELL_PARAMETERS angstrom
-1.879 1.879 6.493
1.879 -1.879 6.493
1.879 1.879 -6.493
ATOMIC_POSITIONS angstrom
Mo 0.000 0.000 1.090
Mo 0.000 0.000 11.897
Rh 0.000 0.000 6.493
Au 1.879 0.000 3.247
Au 0.000 1.879 3.247
```

Symmetry ... I4/mmm
ρ ... 12.475 g cm⁻³

=====

--- two ---
Entry from Alexandria via LeMat-Bulk: an optimized crystal structure of Mo2RhAu2 (PBE). Values from VASP.

```
&SYSTEM
  ibrav = 0, nat = 10, ntyp = 3
/
ATOMIC_SPECIES
Mo 95.94 Mo.upf
Rh 102.91 Rh.upf
Au 196.97 Au.upf
CELL_PARAMETERS angstrom
7.544 0.000 0.000
0.000 7.544 0.000
0.000 0.000 3.079
ATOMIC_POSITIONS angstrom
Mo 0.827 2.945 0.000
Mo 2.945 6.718 0.000
Mo 4.599 0.827 0.000
Mo 6.718 4.599 0.000
Rh 0.000 0.000 0.000
Rh 3.772 3.772 0.000
Au 1.391 5.163 1.539
Au 2.382 1.391 1.539
Au 5.163 6.154 1.539
Au 6.154 2.382 1.539
```

Symmetry ... P4/mbm
ρ ... 13.052 g cm⁻³

=====

Most stable = one

=====

--- one ---
Entry from Alexandria via LeMat-Bulk: an optimized crystal structure of MoRhAu (PBE). Values from VASP.

```
&SYSTEM
  ibrav = 0, nat = 3, ntyp = 3
/
ATOMIC_SPECIES
Mo 95.94 Mo.upf
Rh 102.91 Rh.upf
Au 196.97 Au.upf
CELL_PARAMETERS angstrom
0.000 3.035 3.035
3.035 0.000 3.035
3.035 3.035 0.000
ATOMIC_POSITIONS angstrom
Mo 0.000 0.000 0.000
Rh 1.518 1.518 1.518
Au 3.035 3.035 3.035
```

Symmetry ... F-43m
ρ ... 11.750 g cm⁻³

=====

--- two ---
Entry from Alexandria via LeMat-Bulk: an optimized crystal structure of MoRhAu (PBE). Values from VASP.

```
&SYSTEM
  ibrav = 0, nat = 3, ntyp = 3
/
ATOMIC_SPECIES
Mo 95.94 Mo.upf
Rh 102.91 Rh.upf
Au 196.97 Au.upf
CELL_PARAMETERS angstrom
-1.418 1.418 5.940
1.418 -1.418 5.940
1.418 1.418 -5.940
ATOMIC_POSITIONS angstrom
Mo 0.000 0.000 0.000
Rh 0.000 0.000 4.212
Au 0.000 0.000 8.014
```

Symmetry ... I4mm
ρ ... 13.757 g cm⁻³

=====

--- three ---
Entry from Alexandria via LeMat-Bulk: an optimized crystal structure of MoRhAu (PBE). Values from VASP.

```
&SYSTEM
  ibrav = 0, nat = 3, ntyp = 3
/
ATOMIC_SPECIES
Mo 95.94 Mo.upf
Rh 102.91 Rh.upf
Au 196.97 Au.upf
CELL_PARAMETERS angstrom
-1.419 1.959 4.232
1.419 -1.959 4.232
1.419 1.959 -4.232
ATOMIC_POSITIONS angstrom
Mo 0.000 0.000 0.000
Rh 0.000 0.000 2.939
Au 0.000 0.000 5.695
```

Symmetry ... Imm2
ρ ... 13.966 g cm⁻³

=====

--- four ---
Entry from Alexandria via LeMat-Bulk: an optimized crystal structure of MoRhAu (PBE). Values from VASP.

```
&SYSTEM
  ibrav = 0, nat = 6, ntyp = 3
/
ATOMIC_SPECIES
Mo 95.94 Mo.upf
Rh 102.91 Rh.upf
Au 196.97 Au.upf
CELL_PARAMETERS angstrom
2.800 0.000 0.000
0.000 2.800 0.000
0.000 0.000 12.288
ATOMIC_POSITIONS angstrom
Mo 0.700 0.700 1.062
Mo 2.100 2.100 11.226
Rh 0.700 0.700 9.422
Rh 2.100 2.100 2.866
Au 0.700 0.700 5.013
Au 2.100 2.100 7.275
```

Symmetry ... P4/nmm
ρ ... 13.650 g cm⁻³

=====

Most stable = four

=====

--- one ---
Entry from Alexandria via LeMat-Bulk: an optimized crystal structure of MoRuAu (PBE). Values from VASP.

```
&SYSTEM
  ibrav = 0, nat = 3, ntyp = 3
/
ATOMIC_SPECIES
Mo 95.94 Mo.upf
Ru 101.07 Ru.upf
Au 196.97 Au.upf
CELL_PARAMETERS angstrom
2.808 0.000 0.000
-1.404 2.432 0.000
0.000 0.000 7.002
ATOMIC_POSITIONS angstrom
Mo 0.000 0.000 0.000
Ru 1.404 0.811 2.068
Au 0.000 1.621 4.525
```

Symmetry ... P3m1
ρ ... 13.682 g cm⁻³

=====

--- two ---
Entry from Alexandria via LeMat-Bulk: an optimized crystal structure of MoRuAu (PBE). Values from VASP.

```
&SYSTEM
  ibrav = 0, nat = 3, ntyp = 3
/
ATOMIC_SPECIES
Mo 95.94 Mo.upf
Ru 101.07 Ru.upf
Au 196.97 Au.upf
CELL_PARAMETERS angstrom
-1.435 1.435 5.835
1.435 -1.435 5.835
1.435 1.435 -5.835
ATOMIC_POSITIONS angstrom
Mo 0.000 0.000 0.000
Ru 0.000 0.000 7.465
Au 0.000 0.000 3.725
```

Symmetry ... I4mm
ρ ... 13.611 g cm⁻³

=====

Most stable = two

=====

--- one ---
Entry from Alexandria via LeMat-Bulk: an optimized crystal structure of MoRuAu (PBE). Values from VASP.

```
&SYSTEM
  ibrav = 0, nat = 3, ntyp = 3
/
ATOMIC_SPECIES
Mo 95.94 Mo.upf
Ru 101.07 Ru.upf
Au 196.97 Au.upf
CELL_PARAMETERS angstrom
-1.427 1.930 4.285
1.427 -1.930 4.285
1.427 1.930 -4.285
ATOMIC_POSITIONS angstrom
Mo 0.000 0.000 0.000
Ru 0.000 0.000 5.550
Au 0.000 0.000 2.772
```

Symmetry ... Imm2
ρ ... 13.856 g cm⁻³

=====

--- two ---
Entry from Alexandria via LeMat-Bulk: an optimized crystal structure of MoRuAu (PBE). Values from VASP.

```
&SYSTEM
  ibrav = 0, nat = 3, ntyp = 3
/
ATOMIC_SPECIES
Mo 95.94 Mo.upf
Ru 101.07 Ru.upf
Au 196.97 Au.upf
CELL_PARAMETERS angstrom
0.000 3.034 3.034
3.034 0.000 3.034
3.034 3.034 0.000
ATOMIC_POSITIONS angstrom
Mo 0.000 0.000 0.000
Ru 1.517 1.517 1.517
Au 3.034 3.034 3.034
```

Symmetry ... F-43m
ρ ... 11.709 g cm⁻³

=====

Most stable = one

=====

--- one ---
Entry from Alexandria via LeMat-Bulk: an optimized crystal structure of MoRuAu (PBE). Values from VASP.

```
&SYSTEM
  ibrav = 0, nat = 6, ntyp = 3
/
ATOMIC_SPECIES
Mo 95.94 Mo.upf
Ru 101.07 Ru.upf
Au 196.97 Au.upf
CELL_PARAMETERS angstrom
2.785 0.000 0.000
1.157 5.227 0.000
1.355 1.645 6.590
ATOMIC_POSITIONS angstrom
Mo 0.000 0.000 0.000
Mo 2.393 3.190 4.719
Ru 2.613 2.808 0.351
Ru 3.965 3.862 2.366
Au 1.327 1.147 2.143
Au 3.861 5.642 4.496
```

Symmetry ... P1
ρ ... 13.638 g cm⁻³

=====

--- two ---
Entry from Alexandria via LeMat-Bulk: an optimized crystal structure of MoRuAu (PBE). Values from VASP.

```
&SYSTEM
  ibrav = 0, nat = 3, ntyp = 3
/
ATOMIC_SPECIES
Mo 95.94 Mo.upf
Ru 101.07 Ru.upf
Au 196.97 Au.upf
CELL_PARAMETERS angstrom
4.399 0.000 0.000
-2.200 3.810 0.000
0.000 0.000 2.871
ATOMIC_POSITIONS angstrom
Mo 0.000 0.000 0.000
Ru 0.000 2.540 0.331
Au 2.200 1.270 1.595
```

Symmetry ... P3m1
ρ ... 13.596 g cm⁻³

=====

Most stable = two

=====

--- one ---
Entry from Alexandria via LeMat-Bulk: an optimized crystal structure of YMoRuAu2 (PBE). Values from VASP.

```
&SYSTEM
  ibrav = 0, nat = 5, ntyp = 4
/
ATOMIC_SPECIES
Y 88.91 Y.upf
Mo 95.94 Mo.upf
Ru 101.07 Ru.upf
Au 196.97 Au.upf
CELL_PARAMETERS angstrom
5.077 0.000 0.000
0.000 5.077 0.000
0.000 0.000 4.582
ATOMIC_POSITIONS angstrom
Y 0.000 0.000 0.000
Mo 2.539 2.539 2.291
Ru 2.539 2.539 0.000
Au 0.000 2.539 2.291
Au 2.539 0.000 2.291
```

Symmetry ... P4/mmm
ρ ... 9.557 g cm⁻³

=====

--- two ---
Entry from Alexandria via LeMat-Bulk: an optimized crystal structure of YMoRuAu2 (PBE). Values from VASP.

```
&SYSTEM
  ibrav = 0, nat = 5, ntyp = 4
/
ATOMIC_SPECIES
Y 88.91 Y.upf
Mo 95.94 Mo.upf
Ru 101.07 Ru.upf
Au 196.97 Au.upf
CELL_PARAMETERS angstrom
5.124 0.000 0.000
0.000 5.124 0.000
0.000 0.000 4.825
ATOMIC_POSITIONS angstrom
Y 0.000 0.000 0.000
Mo 2.562 2.562 0.000
Ru 0.000 0.000 2.412
Au 0.000 2.562 2.412
Au 2.562 0.000 2.412
```

Symmetry ... P4/mmm
ρ ... 8.910 g cm⁻³

=====

Most stable = one

=====

--- one ---
Entry from Alexandria via LeMat-Bulk: an optimized crystal structure of MoAuS2 (PBE). Values from VASP.

```
&SYSTEM
  ibrav = 0, nat = 4, ntyp = 3
/
ATOMIC_SPECIES
Mo 95.94 Mo.upf
Au 196.97 Au.upf
S 32.06 S.upf
CELL_PARAMETERS angstrom
0.000 3.160 3.160
3.160 0.000 3.160
3.160 3.160 0.000
ATOMIC_POSITIONS angstrom
Mo 0.000 0.000 0.000
Au 3.160 3.160 3.160
S 1.580 1.580 1.580
S 4.740 4.740 4.740
```

Symmetry ... Fm-3m
ρ ... 9.397 g cm⁻³

=====

--- two ---
Entry from Alexandria via LeMat-Bulk: an optimized crystal structure of MoAuS2 (PBE). Values from VASP.

```
&SYSTEM
  ibrav = 0, nat = 8, ntyp = 3
/
ATOMIC_SPECIES
Mo 95.94 Mo.upf
Au 196.97 Au.upf
S 32.06 S.upf
CELL_PARAMETERS angstrom
-2.837 2.837 5.332
2.837 -2.837 5.332
2.837 2.837 -5.332
ATOMIC_POSITIONS angstrom
Mo 0.000 0.000 0.000
Mo 0.000 2.837 2.666
Au 2.837 0.000 2.666
Au 0.000 0.000 5.332
S 4.255 1.231 -1.333
S 1.231 1.418 1.333
S -1.418 1.606 3.999
S 1.606 1.418 6.665
```

Symmetry ... I-42d
ρ ... 6.908 g cm⁻³

=====

Most stable = two

=====

--- one ---
Entry from Alexandria via LeMat-Bulk: an optimized crystal structure of Ti2MoAuS (PBE). Values from VASP.

```
&SYSTEM
  ibrav = 0, nat = 5, ntyp = 4
/
ATOMIC_SPECIES
Ti 47.87 Ti.upf
Mo 95.94 Mo.upf
Au 196.97 Au.upf
S 32.06 S.upf
CELL_PARAMETERS angstrom
4.848 0.000 0.000
0.000 4.848 0.000
0.000 0.000 4.471
ATOMIC_POSITIONS angstrom
Ti 0.000 2.424 0.000
Ti 2.424 0.000 0.000
Mo 0.000 0.000 0.000
Au 2.424 2.424 2.236
S 0.000 0.000 2.236
```

Symmetry ... P4/mmm
ρ ... 6.648 g cm⁻³

=====

--- two ---
Entry from Alexandria via LeMat-Bulk: an optimized crystal structure of Ti2MoAuS (PBE). Values from VASP.

```
&SYSTEM
  ibrav = 0, nat = 5, ntyp = 4
/
ATOMIC_SPECIES
Ti 47.87 Ti.upf
Mo 95.94 Mo.upf
Au 196.97 Au.upf
S 32.06 S.upf
CELL_PARAMETERS angstrom
4.895 0.000 0.000
0.000 4.895 0.000
0.000 0.000 4.585
ATOMIC_POSITIONS angstrom
Ti 0.000 2.448 0.000
Ti 2.448 0.000 0.000
Mo 0.000 0.000 2.292
Au 2.448 2.448 0.000
S 2.448 2.448 2.292
```

Symmetry ... P4/mmm
ρ ... 6.359 g cm⁻³

=====

Most stable = one

=====

--- one ---
Entry from Alexandria via LeMat-Bulk: an optimized crystal structure of SbMoAu (PBE). Values from VASP.

```
&SYSTEM
  ibrav = 0, nat = 3, ntyp = 3
/
ATOMIC_SPECIES
Sb 121.76 Sb.upf
Mo 95.94 Mo.upf
Au 196.97 Au.upf
CELL_PARAMETERS angstrom
-1.700 1.700 4.931
1.700 -1.700 4.931
1.700 1.700 -4.931
ATOMIC_POSITIONS angstrom
Sb 0.000 0.000 0.000
Mo 0.000 0.000 3.516
Au 0.000 0.000 6.737
```

Symmetry ... I4mm
ρ ... 12.082 g cm⁻³

=====

--- two ---
Entry from Alexandria via LeMat-Bulk: an optimized crystal structure of SbMoAu (PBE). Values from VASP.

```
&SYSTEM
  ibrav = 0, nat = 3, ntyp = 3
/
ATOMIC_SPECIES
Sb 121.76 Sb.upf
Mo 95.94 Mo.upf
Au 196.97 Au.upf
CELL_PARAMETERS angstrom
3.196 0.000 0.000
-1.598 2.768 0.000
0.000 0.000 6.681
ATOMIC_POSITIONS angstrom
Sb 0.000 0.000 0.000
Mo 0.000 1.845 4.638
Au 1.598 0.923 2.491
```

Symmetry ... P3m1
ρ ... 11.648 g cm⁻³

=====

Most stable = one